The following is a DFT calculation (PBE) of an optimized crystal structure of Mg2MnBe.

Geometry as extended XYZ:
```
4
Lattice="2.890 0.000 0.000 0.000 2.890 0.000 0.000 0.000 7.419" Properties=species:S:1:pos:R:3 pbc="T T T"
Mg 0.000 0.000 0.000
Mg 1.445 1.445 2.496
Mn 0.000 0.000 4.461
Be 1.445 1.445 5.610
```

Total moment, μB/f.u.: 2.5
SG: No. 99
Formation energy from the elements, kJ per mole of atoms: 16.2
Uncorrected energy, eV/f.u.: -15.415